Record 1
# PBE CaCuRe2, optimized geometry
# SG: Cm
# Total magnetic moment: 0.00 μB/cell
data_CaCuRe2
_chemical_formula_sum 'Ca2 Cu2 Re4'
_space_group_name_H-M_alt 'P 1'
_space_group_IT_number 1
_cell_length_a 8.7509
_cell_length_b 2.8237
_cell_length_c 5.8645
_cell_angle_alpha 90.00
_cell_angle_beta 96.45
_cell_angle_gamma 90.00
loop_
_space_group_symop_operation_xyz
'x,y,z'
loop_
_atom_site_label
_atom_site_type_symbol
_atom_site_fract_x
_atom_site_fract_y
_atom_site_fract_z
_atom_site_occupancy
Ca1 Ca 0.0000 0.0000 0.0000 1
Ca2 Ca 0.5000 0.5000 0.0000 1
Cu1 Cu 0.2420 0.0000 0.7171 1
Cu2 Cu 0.7420 0.5000 0.7171 1
Re1 Re 0.0107 0.5000 0.4934 1
Re2 Re 0.2659 0.5000 0.3402 1
Re3 Re 0.5107 0.0000 0.4934 1
Re4 Re 0.7659 0.0000 0.3402 1

Record 2
# PBE TlRuCl5, optimized geometry
# E_form (uncorrected): -4.2 eV per formula unit
# SG: C2/c
# Total magnetic moment: 4.02 μB/cell
data_TlRuCl5
_chemical_formula_sum 'Tl2 Ru2 Cl10'
_space_group_name_H-M_alt 'P 1'
_space_group_IT_number 1
_cell_length_a 7.8307
_cell_length_b 7.8307
_cell_length_c 9.0330
_cell_angle_alpha 107.68
_cell_angle_beta 107.68
_cell_angle_gamma 57.98
loop_
_space_group_symop_operation_xyz
'x,y,z'
loop_
_atom_site_label
_atom_site_type_symbol
_atom_site_fract_x
_atom_site_fract_y
_atom_site_fract_z
_atom_site_occupancy
Tl1 Tl 0.0446 0.9554 0.7500 1
Tl2 Tl 0.9554 0.0446 0.2500 1
Ru1 Ru 0.5000 0.5000 0.0000 1
Ru2 Ru 0.5000 0.5000 0.5000 1
Cl1 Cl 0.1596 0.5864 0.4779 1
Cl2 Cl 0.1616 0.5793 0.8864 1
Cl3 Cl 0.3946 0.6054 0.2500 1
Cl4 Cl 0.4136 0.8404 0.0221 1
Cl5 Cl 0.4207 0.8384 0.6136 1
Cl6 Cl 0.5793 0.1616 0.3864 1
Cl7 Cl 0.5864 0.1596 0.9779 1
Cl8 Cl 0.6054 0.3946 0.7500 1
Cl9 Cl 0.8384 0.4207 0.1136 1
Cl10 Cl 0.8404 0.4136 0.5221 1

Number 1: E -7.25 eV per atom. Number 2: E -3.59 eV per atom.